First-principles (GGA-PBEsol) data for an optimized crystal structure of NaPIO2, as listed in Alexandria via LeMat-Bulk.

abc: 4.129 4.129 6.058
angles: 90.00 90.00 90.00
Atoms (fractional coordinates):
1 Na 0.000 0.000 0.000
2 P 0.500 0.500 0.500
3 I 0.000 0.000 0.500
4 O 0.000 0.500 0.000
5 O 0.500 0.000 0.000

Output
For the raw formation energy, the calculation gives 817 meV per atom. The calculation puts the raw total energy at -0.22593 Ry/atom. The calculation puts the energy above the most stable polymorph in this dataset at 1.4329 eV per atom. The value obtained for the density of states at the Fermi level is 5.38 states/eV/f.u.



First-principles (GGA-PBEsol) data for an optimized crystal structure of NaPIO2, as listed in Alexandria via LeMat-Bulk.

abc: 3.752 3.752 5.643
angles: 90.00 90.00 90.00
Atoms (fractional coordinates):
1 Na 0.000 0.000 0.000
2 P 0.500 0.500 0.500
3 I 0.500 0.500 0.000
4 O 0.000 0.500 0.500
5 O 0.500 0.000 0.500

Output
For the raw formation energy, the calculation gives -615 meV per atom. The calculation puts the raw total energy at -0.33124 Ry/atom. The calculation puts the energy above the most stable polymorph in this dataset at 0.0000 eV per atom. The value obtained for the density of states at the Fermi level is 1.42 states/eV/f.u.



First-principles (GGA-PBEsol) data for an optimized crystal structure of NaSIO2, as listed in Alexandria via LeMat-Bulk.

abc: 4.122 4.122 6.409
angles: 90.00 90.00 90.00
Atoms (fractional coordinates):
1 Na 0.000 0.000 0.000
2 S 0.500 0.500 0.500
3 I 0.000 0.000 0.500
4 O 0.000 0.500 0.000
5 O 0.500 0.000 0.000

Output
For the raw formation energy, the calculation gives 720 meV per atom. The calculation puts the raw total energy at -0.21240 Ry/atom. The value obtained for the density of states at the Fermi level is 6.27 states/eV/f.u.



First-principles (GGA-PBEsol) data for an optimized crystal structure of NaSeIO2, as listed in Alexandria via LeMat-Bulk.

abc: 3.975 3.975 5.885
angles: 90.00 90.00 90.00
Atoms (fractional coordinates):
1 Na 0.000 0.000 0.000
2 Se 0.500 0.500 0.500
3 I 0.500 0.500 0.000
4 O 0.000 0.500 0.500
5 O 0.500 0.000 0.500

Output
For the raw formation energy, the calculation gives -418 meV per atom. The calculation puts the raw total energy at -0.28822 Ry/atom. The value obtained for the density of states at the Fermi level is 0.99 states/eV/f.u.



First-principles (GGA-PBEsol) data for an optimized crystal structure of NaSr2IO6, as listed in Alexandria via LeMat-Bulk.

abc: 5.728 5.728 5.728
angles: 60.00 60.00 60.00
Atoms (fractional coordinates):
1 Na 0.000 0.000 0.000
2 Sr 0.250 0.250 0.250
3 Sr 0.750 0.750 0.750
4 I 0.500 0.500 0.500
5 O 0.269 0.269 0.731
6 O 0.269 0.731 0.269
7 O 0.269 0.731 0.731
8 O 0.731 0.269 0.269
9 O 0.731 0.269 0.731
10 O 0.731 0.731 0.269

Output
For the raw formation energy, the calculation gives -1822 meV per atom. The calculation puts the raw total energy at -0.41574 Ry/atom. The value obtained for the density of states at the Fermi level is 0.00 states/eV/f.u.



First-principles (GGA-PBEsol) data for an optimized crystal structure of NaTeI2O, as listed in Alexandria via LeMat-Bulk.

abc: 5.694 5.694 4.143
angles: 90.00 90.00 90.00
Atoms (fractional coordinates):
1 Na 0.000 0.000 0.000
2 Te 0.500 0.500 0.500
3 I 0.000 0.500 0.000
4 I 0.500 0.000 0.000
5 O 0.000 0.000 0.500

Output
For the raw formation energy, the calculation gives 214 meV per atom. The calculation puts the raw total energy at -0.18575 Ry/atom. The value obtained for the density of states at the Fermi level is 4.69 states/eV/f.u.



First-principles (GGA-PBEsol) data for an optimized crystal structure of NaTiIO2, as listed in Alexandria via LeMat-Bulk.

abc: 3.901 3.901 5.694
angles: 90.00 90.00 90.00
Atoms (fractional coordinates):
1 Na 0.000 0.000 0.000
2 Ti 0.500 0.500 0.500
3 I 0.500 0.500 0.000
4 O 0.000 0.500 0.500
5 O 0.500 0.000 0.500

Output
For the raw formation energy, the calculation gives -1753 meV per atom. The calculation puts the raw total energy at -0.45208 Ry/atom. The value obtained for the density of states at the Fermi level is 0.01 states/eV/f.u.



First-principles (GGA-PBEsol) data for an optimized crystal structure of Na3OsI, as listed in Alexandria via LeMat-Bulk.

abc: 5.640 5.640 5.640
angles: 90.00 90.00 90.00
Atoms (fractional coordinates):
1 Na 0.000 0.000 0.500
2 Na 0.000 0.500 0.000
3 Na 0.500 0.000 0.000
4 Os 0.500 0.500 0.500
5 I 0.000 0.000 0.000

Output
For the raw formation energy, the calculation gives 1109 meV per atom. The calculation puts the raw total energy at -0.18578 Ry/atom. The value obtained for the density of states at the Fermi level is 9.78 states/eV/f.u.